(1)
Compound: MgZnCdS3
Source: OQMD via LeMat-Bulk
Functional: GGA-PBE
Structure: optimized geometry

abc: 6.8436 6.8436 11.3861
angles: 90.00 90.00 30.08
With the nearest neighbours (Å) after each atom.
Fractional positions:
Zn 0.0000 0.0000 0.0000  4 S 2.46
Zn 0.0000 0.0000 0.5000  4 S 2.46
Mg 0.1975 0.1975 0.7500  2 S 2.51
Mg 0.8025 0.8025 0.2500  2 S 2.51
S 0.3979 0.3979 0.0901  2 Zn 2.46, 1 Cd 2.56
S 0.3979 0.3979 0.4099  2 Zn 2.46, 1 Cd 2.56
S 0.6021 0.6021 0.9099  2 Zn 2.46, 1 Cd 2.56
S 0.6021 0.6021 0.5901  2 Zn 2.46, 1 Cd 2.56
S 0.1686 0.1686 0.2500  2 Mg 2.51, 2 Cd 2.52
S 0.8314 0.8314 0.7500  2 Mg 2.51, 2 Cd 2.52
Cd 0.5336 0.5336 0.2500  4 S 2.52-2.56
Cd 0.4664 0.4664 0.7500  4 S 2.52-2.56

Results
- Energy above the lowest structure with this stoichiometry: 0.1040 eV/atom

(2)
Compound: MgCd2Sb
Source: OQMD via LeMat-Bulk
Functional: GGA-PBE
Structure: optimized geometry

abc: 5.1481 5.1481 5.1481
angles: 60.00 60.00 60.00
With the nearest neighbours (Å) after each atom.
Fractional positions:
Sb 0.5000 0.5000 0.5000  4 Mg 3.15, 4 Cd 3.15
Cd 0.0000 0.0000 0.0000  4 Mg 3.15, 4 Cd 3.15
Cd 0.7500 0.7500 0.7500  4 Sb 3.15, 4 Cd 3.15
Mg 0.2500 0.2500 0.2500  4 Sb 3.15, 4 Cd 3.15

Results
- E: -1.862 eV/atom

(3)
Compound: MgSc2Cd
Source: OQMD via LeMat-Bulk
Functional: GGA-PBE
Structure: optimized geometry

abc: 6.8859 6.9155 7.5047
angles: 90.00 90.00 90.00
With the nearest neighbours (Å) after each atom.
Fractional positions:
Cd 0.7509 0.2500 0.0000  8 Sc 3.08, 1 Mg 3.43
Cd 0.7491 0.2500 0.5000  8 Sc 3.08, 1 Mg 3.43
Cd 0.2509 0.7500 0.5000  8 Sc 3.08, 1 Mg 3.43
Cd 0.2491 0.7500 0.0000  8 Sc 3.08, 1 Mg 3.43
Sc 0.0000 0.0000 0.2508  4 Mg 3.08, 4 Cd 3.08, 2 Sc 3.44
Sc 0.5000 0.0000 0.7508  4 Mg 3.08, 4 Cd 3.08, 2 Sc 3.44
Sc 0.5000 0.0000 0.2492  4 Mg 3.08, 4 Cd 3.08, 2 Sc 3.44
Sc 0.5000 0.5000 0.7508  4 Mg 3.08, 4 Cd 3.08, 2 Sc 3.44
Sc 0.5000 0.5000 0.2492  4 Mg 3.08, 4 Cd 3.08, 2 Sc 3.44
Sc 0.0000 0.0000 0.7492  4 Mg 3.08, 4 Cd 3.08, 2 Sc 3.44
Sc 0.0000 0.5000 0.7492  4 Mg 3.08, 4 Cd 3.08, 2 Sc 3.44
Sc 0.0000 0.5000 0.2508  4 Mg 3.08, 4 Cd 3.08, 2 Sc 3.44
Mg 0.7510 0.7500 0.0000  8 Sc 3.08, 1 Cd 3.43
Mg 0.2510 0.2500 0.5000  8 Sc 3.08, 1 Cd 3.43
Mg 0.2490 0.2500 0.0000  8 Sc 3.08, 1 Cd 3.43
Mg 0.7490 0.7500 0.5000  8 Sc 3.08, 1 Cd 3.43

Results
- Energy above the lowest structure with this stoichiometry: 0.0002 eV/atom

(4)
Compound: MgSc2Cd
Source: OQMD via LeMat-Bulk
Functional: GGA-PBE
Structure: optimized geometry

abc: 5.0238 7.0816 15.0726
angles: 90.00 90.00 90.00
With the nearest neighbours (Å) after each atom.
Fractional positions:
Sc 0.0000 0.2500 0.5000  4 Cd 3.07, 4 Mg 3.07
Sc 0.9998 0.2499 0.1667  4 Mg 3.07, 4 Cd 3.07
Sc 0.0002 0.7501 0.8333  4 Mg 3.07, 4 Cd 3.07
Sc 0.4998 0.7499 0.3333  4 Mg 3.07, 4 Cd 3.07
Sc 0.4998 0.2501 0.3333  4 Mg 3.07, 4 Cd 3.07
Sc 0.0002 0.2499 0.8333  4 Mg 3.07, 4 Cd 3.07
Sc 0.9998 0.7501 0.1667  4 Mg 3.07, 4 Cd 3.07
Sc 0.0000 0.7500 0.5000  4 Cd 3.07, 4 Mg 3.07
Sc 0.5000 0.7500 0.0000  4 Cd 3.07, 4 Mg 3.07
Sc 0.5000 0.2500 0.0000  4 Cd 3.07, 4 Mg 3.07
Sc 0.5002 0.7499 0.6667  4 Mg 3.07, 4 Cd 3.07
Sc 0.5002 0.2501 0.6667  4 Mg 3.07, 4 Cd 3.07
Cd 0.5000 0.0000 0.5000  8 Sc 3.07
Cd 0.0000 0.5000 0.0000  8 Sc 3.07
Cd 0.0002 0.5000 0.6667  8 Sc 3.07
Cd 0.4998 0.0000 0.1667  8 Sc 3.07
Cd 0.5002 0.0000 0.8333  8 Sc 3.07
Cd 0.9998 0.5000 0.3333  8 Sc 3.07
Mg 0.9998 0.0000 0.3333  8 Sc 3.07
Mg 0.0000 0.0000 0.0000  8 Sc 3.07
Mg 0.0002 0.0000 0.6667  8 Sc 3.07
Mg 0.5000 0.5000 0.5000  8 Sc 3.07
Mg 0.4998 0.5000 0.1667  8 Sc 3.07
Mg 0.5002 0.5000 0.8333  8 Sc 3.07

Results
- Energy above the lowest structure with this stoichiometry: 0.0024 eV/atom

(5)
Compound: MgSc2Cd
Source: OQMD via LeMat-Bulk
Functional: GGA-PBE
Structure: optimized geometry

abc: 5.0370 5.0370 9.0532
angles: 90.00 90.00 120.00
With the nearest neighbours (Å) after each atom.
Fractional positions:
Sc 0.6667 0.3333 0.4168  3 Mg 3.00, 4 Cd 3.02-3.28, 4 Sc 3.02-3.28
Sc 0.3333 0.6667 0.9168  3 Mg 3.00, 4 Cd 3.02-3.28, 4 Sc 3.02-3.28
Sc 0.3333 0.6667 0.5832  3 Mg 3.00, 4 Cd 3.02-3.28, 4 Sc 3.02-3.28
Sc 0.6667 0.3333 0.0832  3 Mg 3.00, 4 Cd 3.02-3.28, 4 Sc 3.02-3.28
Cd 0.6667 0.3333 0.7500  8 Sc 3.02-3.28
Cd 0.3333 0.6667 0.2500  8 Sc 3.02-3.28
Mg 0.0000 0.0000 0.0000  6 Sc 3.00
Mg 0.0000 0.0000 0.5000  6 Sc 3.00

Results
- Energy above the lowest structure with this stoichiometry: 0.3543 eV/atom

(6)
Compound: MgSc2Cd
Source: OQMD via LeMat-Bulk
Functional: GGA-PBE
Structure: optimized geometry

abc: 4.9674 4.9674 9.6090
angles: 90.00 90.00 120.00
With the nearest neighbours (Å) after each atom.
Fractional positions:
Sc 0.3333 0.6667 0.9158  3 Cd 2.98, 4 Sc 3.19-3.29, 4 Mg 3.21-3.28
Sc 0.3333 0.6667 0.5842  3 Cd 2.98, 4 Sc 3.19-3.29, 4 Mg 3.21-3.28
Sc 0.6667 0.3333 0.0842  3 Cd 2.98, 4 Sc 3.19-3.29, 4 Mg 3.21-3.28
Sc 0.6667 0.3333 0.4158  3 Cd 2.98, 4 Sc 3.19-3.29, 4 Mg 3.21-3.28
Cd 0.0000 0.0000 0.5000  6 Sc 2.98
Cd 0.0000 0.0000 0.0000  6 Sc 2.98
Mg 0.6667 0.3333 0.7500  8 Sc 3.21-3.28
Mg 0.3333 0.6667 0.2500  8 Sc 3.21-3.28

Results
- Energy above the lowest structure with this stoichiometry: 0.3237 eV/atom

(7)
Compound: MgSc2Cd
Source: OQMD via LeMat-Bulk
Functional: GGA-PBE
Structure: optimized geometry

abc: 4.8245 4.8245 9.5642
angles: 90.00 90.00 120.00
With the nearest neighbours (Å) after each atom.
Fractional positions:
Mg 0.3333 0.6667 0.7500  3 Cd 2.79
Mg 0.6667 0.3333 0.2500  3 Cd 2.79
Sc 0.6667 0.3333 0.5912  4 Sc 3.04-3.29, 4 Mg 3.17-3.26, 3 Cd 3.17
Sc 0.6667 0.3333 0.9088  4 Sc 3.04-3.29, 4 Mg 3.17-3.26, 3 Cd 3.17
Sc 0.3333 0.6667 0.4088  4 Sc 3.04-3.29, 4 Mg 3.17-3.26, 3 Cd 3.17
Sc 0.3333 0.6667 0.0912  4 Sc 3.04-3.29, 4 Mg 3.17-3.26, 3 Cd 3.17
Cd 0.0000 0.0000 0.7500  3 Mg 2.79
Cd 0.0000 0.0000 0.2500  3 Mg 2.79

Results
- Energy above the lowest structure with this stoichiometry: 0.2544 eV/atom

(8)
Compound: MgSc2Cd
Source: OQMD via LeMat-Bulk
Functional: GGA-PBE
Structure: optimized geometry

abc: 4.8941 4.8941 3.7336
angles: 90.00 90.00 90.00
With the nearest neighbours (Å) after each atom.
Fractional positions:
Mg 0.0000 0.0000 0.0000  8 Sc 3.08
Sc 0.5000 0.0000 0.5000  4 Cd 3.08, 4 Mg 3.08
Sc 0.0000 0.5000 0.5000  4 Cd 3.08, 4 Mg 3.08
Cd 0.5000 0.5000 0.0000  8 Sc 3.08

Results
- Energy above the lowest structure with this stoichiometry: 0.0000 eV/atom

(9)
Compound: MgCd2Se3
Source: OQMD via LeMat-Bulk
Functional: GGA-PBE
Structure: optimized geometry

abc: 6.9313 6.9313 11.1544
angles: 90.00 90.00 32.40
With the nearest neighbours (Å) after each atom.
Fractional positions:
Se 0.8701 0.8701 0.2500  2 Cd 2.65, 2 Mg 2.76
Se 0.3591 0.3591 0.9242  3 Cd 2.64-2.82, 2 Mg 2.95
Se 0.1299 0.1299 0.7500  2 Cd 2.65, 2 Mg 2.76
Se 0.6409 0.6409 0.0758  3 Cd 2.64-2.82, 2 Mg 2.95
Se 0.3591 0.3591 0.5758  3 Cd 2.64-2.82, 2 Mg 2.95
Se 0.6409 0.6409 0.4242  3 Cd 2.64-2.82, 2 Mg 2.95
Cd 0.0000 0.0000 0.0000  4 Se 2.82
Cd 0.5062 0.5062 0.2500  4 Se 2.64-2.65
Cd 0.0000 0.0000 0.5000  4 Se 2.82
Cd 0.4938 0.4938 0.7500  4 Se 2.64-2.65
Mg 0.7777 0.7777 0.7500  6 Se 2.76-2.95
Mg 0.2223 0.2223 0.2500  6 Se 2.76-2.95

Results
- E: -2.846 eV/atom

(10)
Compound: Mg2Cd2Te3Se
Source: OQMD via LeMat-Bulk
Functional: GGA-PBE
Structure: optimized geometry

abc: 7.8511 7.8511 6.4313
angles: 114.17 114.17 48.32
With the nearest neighbours (Å) after each atom.
Fractional positions:
Cd 0.4856 0.7574 0.3619  1 Se 2.71, 3 Te 2.84-2.86
Cd 0.2426 0.5144 0.6381  1 Se 2.71, 3 Te 2.84-2.86
Mg 0.0067 0.2308 0.8834  1 Se 2.60, 3 Te 2.79-2.81
Mg 0.7692 0.9933 0.1166  1 Se 2.60, 3 Te 2.79-2.81
Te 0.3739 0.1261 0.7599  2 Mg 2.79, 2 Cd 2.84
Te 0.8739 0.6261 0.2401  2 Mg 2.79, 2 Cd 2.84
Te 0.6324 0.3676 0.5000  2 Mg 2.81, 2 Cd 2.86
Se 0.1156 0.8844 0.0000  2 Mg 2.60, 2 Cd 2.71

Results
- E: -2.958 eV/atom

(11)
Compound: MgZnCd2Se4
Source: OQMD via LeMat-Bulk
Functional: GGA-PBE
Structure: optimized geometry

abc: 7.3519 7.3519 7.3519
angles: 131.60 131.60 70.86
With the nearest neighbours (Å) after each atom.
Fractional positions:
Se 0.3849 0.3576 0.4865  1 Zn 2.49, 1 Mg 2.58, 2 Cd 2.67-2.68
Se 0.8711 0.8984 0.5135  1 Zn 2.49, 1 Mg 2.58, 2 Cd 2.67-2.68
Se 0.1016 0.6151 0.9727  1 Zn 2.49, 1 Mg 2.58, 2 Cd 2.67-2.68
Se 0.6424 0.1289 0.0273  1 Zn 2.49, 1 Mg 2.58, 2 Cd 2.67-2.68
Mg 0.0000 0.0000 0.0000  4 Se 2.58
Cd 0.2500 0.7500 0.5000  4 Se 2.68
Cd 0.5000 0.5000 0.0000  4 Se 2.67
Zn 0.7500 0.2500 0.5000  4 Se 2.49

Results
- E: -3.125 eV/atom